# Dy4Ga16Cu3

Dy4Ga16Cu3 after structural relaxation (GGA-PBE, Alexandria).

Cell: 6.211 6.211 10.967 Å, 90.00 90.00 90.00°
Space group P4/mmm (No. 123)
Asymmetric unit:
Dy1 0.000 0.500 0.190 (multiplicity 4)
Ga1 0.000 0.000 0.200 (multiplicity 2)
Ga2 0.214 0.214 0.000 (multiplicity 4)
Ga3 0.243 0.243 0.379 (multiplicity 8)
Ga4 0.500 0.500 0.232 (multiplicity 2)
Cu1 0.000 0.500 0.500 (multiplicity 2)
Cu2 0.500 0.500 0.000 (multiplicity 1)

Values from the calculation:
Spin magnetization, Bohr magnetons per cell: 0.000
Density of states at the Fermi level, states/eV per atom: 0.240
Final energy, eV/atom: -3.836

# Dy2GaCu3

Dy2GaCu3 after structural relaxation (GGA-PBE, Alexandria).

Cell: 3.778 4.051 15.234 Å, 90.00 90.00 90.00°
Space group Imm2 (No. 44)
Asymmetric unit:
Dy1 0.000 0.000 0.000 (multiplicity 2)
Dy2 0.000 0.500 0.260 (multiplicity 2)
Ga1 0.000 0.000 0.592 (multiplicity 2)
Cu1 0.000 0.000 0.429 (multiplicity 2)
Cu2 0.000 0.500 0.675 (multiplicity 2)
Cu3 0.000 0.500 0.835 (multiplicity 2)

Values from the calculation:
Spin magnetization, Bohr magnetons per cell: 0.000
Density of states at the Fermi level, states/eV per atom: 0.635
E above lowest polymorph, meV/atom: 57
Final energy, eV/atom: -4.411

# DyGa3Cu4

DyGa3Cu4 after structural relaxation (GGA-PBE, Alexandria).

Cell: 4.070 4.070 7.975 Å, 90.00 90.00 90.00°
Space group P4/mmm (No. 123)
Asymmetric unit:
Dy1 0.000 0.000 0.000 (multiplicity 1)
Ga1 0.000 0.000 0.500 (multiplicity 1)
Ga2 0.500 0.500 0.156 (multiplicity 2)
Cu1 0.000 0.500 0.326 (multiplicity 4)

Values from the calculation:
Spin magnetization, Bohr magnetons per cell: 0.000
Density of states at the Fermi level, states/eV per atom: 0.561
Final energy, eV/atom: -3.968

| no. | calculated formation energy (kJ per mole of atoms) |
| --- | --- |
| 1 | -38.16 |
| 2 | -31.32 |
| 3 | -20.26 |